(1)
DFT (PBEsol) results for crystalline K3Te at its relaxed geometry.

a b c (Å): 9.731 9.731 9.731
angles (deg): 32.17 32.17 32.17
Sites, in units of the cell vectors:
K 0.000 0.000 0.000
K 0.214 0.214 0.214
K 0.786 0.786 0.786
Te 0.500 0.500 0.500

Calculated values
The space group is R-3m (166). The calculation puts the density of states at the Fermi level at 1.30 states/eV/f.u. For the energy above the most stable polymorph in this dataset, the calculation gives 0 meV per atom. The total magnetization comes out at 0.00 μB per formula unit. For the uncorrected formation energy, the calculation gives -0.573 eV/atom.

=====

(2)
DFT (PBEsol) results for crystalline NiMoRh at its relaxed geometry.

a b c (Å): 4.162 4.162 2.632
angles (deg): 90.00 90.00 120.00
Sites, in units of the cell vectors:
Ni 0.000 0.000 0.000
Mo 0.333 0.667 0.994
Rh 0.667 0.333 0.496

Calculated values
The space group is P3m1 (156). The calculation puts the density of states at the Fermi level at 2.32 states/eV/f.u. For the energy above the most stable polymorph in this dataset, the calculation gives 148 meV per atom. The total magnetization comes out at 0.00 μB per formula unit.

=====

(3)
DFT (PBEsol) results for crystalline MnRe2Hg at its relaxed geometry.

a b c (Å): 4.820 4.820 2.815
angles (deg): 90.00 90.00 112.96
Sites, in units of the cell vectors:
Mn 0.000 0.000 0.000
Re 0.000 0.500 0.500
Re 0.500 0.000 0.500
Hg 0.500 0.500 0.000

Calculated values
The space group is Cmmm (65). For the total energy, the calculation gives -8.51 eV/atom. The calculation puts the density of states at the Fermi level at 4.10 states/eV/f.u. The total magnetization comes out at 2.32 μB per formula unit.

=====

(4)
DFT (PBEsol) results for crystalline KOsBr2 at its relaxed geometry.

a b c (Å): 5.285 5.285 5.285
angles (deg): 60.00 60.00 60.00
Sites, in units of the cell vectors:
K 0.000 0.000 0.000
Os 0.750 0.750 0.750
Br 0.250 0.250 0.250
Br 0.500 0.500 0.500

Calculated values
The space group is F-43m (216). The calculation puts the density of states at the Fermi level at 8.27 states/eV/f.u. For the energy above the most stable polymorph in this dataset, the calculation gives 1087 meV per atom. The total magnetization comes out at 4.62 μB per formula unit. For the uncorrected formation energy, the calculation gives 1.189 eV/atom.